Entry 1:
Density functional theory data (GGA-PBE) for LiTa2Ni2 after structural relaxation.

## Properties
SG: P4/mbm
formation enthalpy at 0 K: 0.0551 eV/atom

Cell lengths 7.5585, 7.5585, 2.6884 Å; angles 90.00, 90.00, 90.00 degrees
Fractional coordinates of all 10 atoms:
Li  0.0000  0.0000  0.0000
Li  0.5000  0.5000  0.0000
Ta  0.1583  0.3417  0.0000
Ta  0.3417  0.8417  0.0000
Ta  0.6583  0.1583  0.0000
Ta  0.8417  0.6583  0.0000
Ni  0.1347  0.6347  0.5000
Ni  0.3653  0.1347  0.5000
Ni  0.6347  0.8653  0.5000
Ni  0.8653  0.3653  0.5000



Entry 2:
Density functional theory data (GGA-PBE) for MgAl2Pd after structural relaxation.

## Properties
SG: I-42d
formation enthalpy at 0 K: -0.1568 eV/atom

Cell lengths 6.0479, 6.0479, 6.0479 Å; angles 100.91, 100.91, 128.41 degrees
Fractional coordinates of all 8 atoms:
Mg  0.0000  0.0000  0.0000
Mg  0.7500  0.2500  0.5000
Al  0.1867  0.6250  0.0617
Al  0.3750  0.4367  0.5617
Al  0.5633  0.1250  0.9383
Al  0.8750  0.8133  0.4383
Pd  0.2500  0.7500  0.5000
Pd  0.5000  0.5000  0.0000



Entry 3:
Density functional theory data (GGA-PBE) for MgTlBr after structural relaxation.

## Properties
uncorrected formation energy: -0.522 eV/atom
SG: P3m1

Cell lengths 3.6941, 3.6941, 8.2077 Å; angles 90.00, 90.00, 120.00 degrees
Fractional coordinates of all 3 atoms:
Mg  0.0000  0.0000  0.0000
Tl  0.6667  0.3333  0.3156
Br  0.3333  0.6667  0.8009



Entry 4:
Density functional theory data (GGA-PBE) for KCr2As after structural relaxation.

## Properties
SG: Pm
formation enthalpy at 0 K: 0.2837 eV/atom

Cell lengths 3.1084, 4.0086, 7.3559 Å; angles 90.00, 101.81, 90.00 degrees
Fractional coordinates of all 4 atoms:
K  0.0000  0.0000  0.0000
Cr  0.2822  0.5000  0.5844
Cr  0.7497  0.0000  0.5185
As  0.6469  0.5000  0.3047



Entry 5:
Density functional theory data (GGA-PBE) for Pr4Ag5Sb7 after structural relaxation.

## Properties
uncorrected formation energy: -0.638 eV/atom
SG: I-42m

Cell lengths 11.6882, 11.6882, 11.6882 Å; angles 149.32, 149.32, 43.95 degrees
Fractional coordinates of all 16 atoms:
Pr  0.1242  0.6373  0.0000
Pr  0.3627  0.3627  0.4870
Pr  0.6373  0.1242  0.0000
Pr  0.8758  0.8758  0.5130
Ag  0.2483  0.2483  0.0000
Ag  0.2500  0.7500  0.5000
Ag  0.5000  0.5000  0.0000
Ag  0.7500  0.2500  0.5000
Ag  0.7517  0.7517  0.0000
Sb  0.0000  0.0000  0.0000
Sb  0.0000  0.5000  0.5000
Sb  0.0944  0.0944  0.5116
Sb  0.4171  0.9056  0.0000
Sb  0.5000  0.0000  0.5000
Sb  0.5829  0.5829  0.4884
Sb  0.9056  0.4171  0.0000



Entry 6:
Density functional theory data (GGA-PBE) for LiSi2Pb2 after structural relaxation.

## Properties
uncorrected formation energy: 0.239 eV/atom
SG: I4/mmm

Cell lengths 5.4761, 5.4761, 5.4761 Å; angles 116.27, 116.27, 96.59 degrees
Fractional coordinates of all 5 atoms:
Li  0.0000  0.0000  0.0000
Si  0.3449  0.3449  0.0000
Si  0.6551  0.6551  0.0000
Pb  0.2500  0.7500  0.5000
Pb  0.7500  0.2500  0.5000



VASP energy in eV per atom, matching the order above: -7.381; -3.725; -2.399; -5.965; -4.528; -3.796
Size of the total moment in μB/atom, matching the order above: 0.00; 0.00; 0.00; 0.05; 0.00; 0.00